# 1
Density functional theory data (GGA-PBE) for a geometry-optimized LaPb2Br structure.

```
LaPb2Br
1.0
-2.7713 2.2940 -0.7590
-0.5525 -2.3868 2.7417
3.9154 7.0101 6.8917
Pb Br La
2 1 1
Cartesian
0.0633 0.1134 0.1115 Pb
1.8943 3.3917 3.3344 Pb
-0.6831 1.7061 2.7143 Br
1.2746 5.2112 6.1602 La
```

Calculated values
Offset from the most stable computed form = 605 meV/atom
Energy relative to the elements, uncorrected = -0.190 eV/atom

***

# 2
Density functional theory data (GGA-PBE) for a geometry-optimized LiMo6S8 structure.

```
LiMo6S8
1.0
6.5139 0.0100 0.0103
-0.2197 6.5102 0.0103
-0.2197 -0.2276 6.5062
Li Mo S
1 6 8
Cartesian
0.0000 0.0000 0.0000 Li
4.8738 3.7627 2.9340 Mo
2.6209 4.9693 3.8674 Mo
3.5885 2.7491 5.1073 Mo
1.2006 2.5298 3.5929 Mo
3.4535 1.3232 2.6595 Mo
2.4859 3.5434 1.4196 Mo
4.7305 4.9003 5.0828 S
1.3439 1.3922 1.4440 S
1.4191 3.8068 5.6554 S
5.4590 1.6126 4.0110 S
3.7544 5.5948 1.7581 S
4.6553 2.4857 0.8715 S
0.6155 4.6799 2.5159 S
2.3200 0.6977 4.7688 S
```

Calculated values
Offset from the most stable computed form = 5 meV/atom
Energy relative to the elements, uncorrected = -0.767 eV/atom

***

# 3
Density functional theory data (GGA-PBE) for a geometry-optimized PmEr2Au structure.

```
PmEr2Au
1.0
3.7060 0.0000 0.0000
1.8530 3.2095 0.0000
1.8530 1.0698 9.9321
Pm Au Er
1 1 2
Cartesian
3.7060 2.1397 4.9661 Pm
0.0000 0.0000 0.0000 Au
1.8530 1.0698 2.0252 Er
5.5590 3.2095 7.9069 Er
```

Calculated values
Offset from the most stable computed form = 127 meV/atom
Energy relative to the elements = -0.2919 eV/atom

***

# 4
Density functional theory data (GGA-PBE) for a geometry-optimized FeBr3 structure.

```
FeBr3
1.0
5.7453 0.0000 0.0000
0.0000 5.7453 0.0000
0.0000 0.0000 5.7453
Fe Br
2 6
Cartesian
0.0000 0.0000 0.0000 Fe
2.8726 2.8726 2.8726 Fe
4.3089 2.8726 0.0000 Br
1.4363 2.8726 0.0000 Br
0.0000 4.3089 2.8726 Br
0.0000 1.4363 2.8726 Br
2.8726 0.0000 1.4363 Br
2.8726 0.0000 4.3089 Br
```

Calculated values
Energy relative to the elements, uncorrected = 0.492 eV/atom

***

# 5
Density functional theory data (GGA-PBE) for a geometry-optimized Pm7Dy3Er2 structure.

```
Pm7Dy3Er2
1.0
4.6512 0.0000 0.0000
0.0000 5.4918 0.0000
0.0000 -2.7459 16.1743
Pm Dy Er
7 3 2
Cartesian
0.0000 0.0000 13.5037 Pm
0.0000 2.7459 7.6235 Pm
0.0000 0.0000 0.0000 Pm
0.0000 2.7459 2.6706 Pm
2.3256 0.0000 2.5785 Pm
2.3256 2.7459 13.5958 Pm
0.0000 0.0000 8.5508 Pm
2.3256 2.7459 0.0000 Dy
2.3256 2.7459 5.1105 Dy
2.3256 0.0000 11.0638 Dy
0.0000 2.7459 11.0054 Er
0.0000 0.0000 5.1690 Er
```

Calculated values
Offset from the most stable computed form = 191 meV/atom
Energy relative to the elements = 0.2635 eV/atom

***

# 6
Density functional theory data (GGA-PBE) for a geometry-optimized LaTb14Er structure.

```
LaTb14Er
1.0
7.1173 -0.8615 0.0000
-2.8126 6.5945 0.0000
0.0000 0.0000 11.5493
La Tb Er
1 14 1
Cartesian
4.2249 1.3102 5.7746 La
-2.3957 6.2814 0.0000 Tb
2.5635 2.5578 0.0000 Tb
0.6600 1.7438 5.7746 Tb
-0.9850 2.9883 0.0000 Tb
2.8142 4.6128 5.7746 Tb
1.1602 5.8453 0.0000 Tb
2.3135 0.4995 8.6842 Tb
2.3135 0.4995 2.8651 Tb
4.4703 3.3720 8.6842 Tb
4.4703 3.3720 2.8651 Tb
0.9079 3.8009 8.6518 Tb
0.9079 3.8009 2.8975 Tb
5.8803 0.0673 8.6944 Tb
5.8803 0.0673 2.8548 Tb
-0.7487 5.0447 5.7746 Er
```

Calculated values
Energy relative to the elements = 0.0041 eV/atom

***

# 7
Density functional theory data (GGA-PBE) for a geometry-optimized La4Dy8Ho structure.

```
La4Dy8Ho
1.0
7.6122 -1.1599 1.3285
0.9084 7.6463 1.3285
-1.5237 -1.1599 7.5755
La Dy Ho
4 8 1
Cartesian
3.0442 -1.1599 4.4520 La
-0.3077 3.2432 4.4520 La
4.2603 3.2432 1.3285 La
0.0000 0.0000 0.0000 La
2.1440 5.2511 3.1354 Dy
6.1185 4.6577 3.8463 Dy
4.8529 0.0752 7.0970 Dy
1.3644 4.6577 7.0970 Dy
5.3223 4.0517 7.7836 Dy
1.6745 1.2747 2.4489 Dy
5.6324 0.6687 3.1354 Dy
0.8784 0.6687 6.3862 Dy
3.4984 2.6632 5.1162 Ho
```

Calculated values
Energy relative to the elements = 0.5541 eV/atom

***

# 8
Density functional theory data (GGA-PBE) for a geometry-optimized CaPAu structure.

```
CaPAu
1.0
-1.1441 4.2284 -1.0463
-2.7963 -0.5613 5.0121
3.9718 3.2123 2.6324
P Ca Au
2 2 2
Cartesian
0.9458 2.7449 1.0422 P
0.5794 5.0907 4.6445 P
-0.8861 2.8765 3.4017 Ca
2.4104 4.9598 2.2847 Ca
-0.3775 4.6923 0.6121 Au
1.9026 3.1435 5.0753 Au
```

Calculated values
Energy relative to the elements = -0.7591 eV/atom

***

# 9
Density functional theory data (GGA-PBE) for a geometry-optimized ReH3N structure.

```
ReH3N
1.0
-2.8668 1.0907 -1.3837
-1.7505 -1.4638 2.4730
0.1997 2.8268 1.8145
Re H N
1 3 1
Cartesian
0.0000 0.0000 0.0000 Re
-0.8753 -0.7319 1.2365 H
0.0998 1.4134 0.9073 H
-1.4334 0.5454 -0.6918 H
-2.2088 1.2268 1.4519 N
```

Calculated values
Offset from the most stable computed form = 0 meV/atom

***

# 10
Density functional theory data (GGA-PBE) for a geometry-optimized BaAs2Cl structure.

```
BaAs2Cl
1.0
-1.6377 -3.4260 -0.9489
4.2410 -2.1935 0.6002
-1.2810 -1.0840 6.1241
As Ba Cl
2 1 1
Cartesian
-0.0989 -0.1545 0.7285 As
0.4188 -2.5872 0.5460 As
0.6071 -1.3899 3.9704 Ba
1.8755 -4.2105 3.8926 Cl
```

Calculated values
Offset from the most stable computed form = 6 meV/atom
Energy relative to the elements, uncorrected = -1.056 eV/atom

***

# 11
Density functional theory data (GGA-PBE) for a geometry-optimized K3SbPd3O8 structure.

```
K3SbPd3O8
1.0
-4.4365 -2.2993 -3.5470
2.8040 -4.5495 4.7353
-4.4390 4.6197 2.5575
K Sb Pd O
3 1 3 8
Cartesian
0.0000 0.0000 0.0000 K
1.4020 -2.2748 2.3676 K
-0.8162 -3.4244 0.5941 K
-2.2195 2.3099 1.2787 Sb
-4.4377 1.1602 -0.4948 Pd
-3.0358 -1.1146 1.8728 Pd
-0.8175 0.0351 3.6464 Pd
-1.3707 -1.7733 2.8639 O
-4.7008 -0.4558 0.8818 O
-3.5704 -2.9640 1.0938 O
-2.5011 0.7349 2.6519 O
-1.8556 -4.6643 2.6368 O
-4.2159 2.4352 1.1089 O
0.4138 -3.4882 4.4512 O
-6.4853 1.2591 -0.7055 O
```

Calculated values
Energy relative to the elements, uncorrected = -1.035 eV/atom

***

# 12
Density functional theory data (GGA-PBE) for a geometry-optimized Rb4IrRh3Se8 structure.

```
Rb4IrRh3Se8
1.0
-7.2778 1.9925 2.2649
2.4330 -0.5206 8.2760
4.1328 4.8206 -4.6630
Rb Ir Rh Se
4 1 3 8
Cartesian
-3.6389 0.9963 1.1324 Rb
-1.5725 3.4066 -1.1991 Rb
0.0000 0.0000 0.0000 Rb
2.0664 2.4103 -2.3315 Rb
1.2165 -0.2603 4.1380 Ir
-2.4224 0.7360 5.2704 Rh
-0.3560 3.1463 2.9389 Rh
3.2829 2.1500 1.8065 Rh
3.8918 4.6254 1.5704 Se
1.8208 2.2096 3.9071 Se
1.1035 3.0799 0.8365 Se
0.2449 5.6238 2.7053 Se
-0.9569 0.6688 3.1725 Se
-1.8156 3.2127 5.0413 Se
-2.5329 4.0830 1.9708 Se
-4.6039 1.6672 4.3075 Se
```

Calculated values
Energy relative to the elements, uncorrected = -0.666 eV/atom

***

# 13
Density functional theory data (GGA-PBE) for a geometry-optimized Hg2Mo2Cl7 structure.

```
Hg2Mo2Cl7
1.0
7.0861 -0.4234 -0.6636
-3.1680 6.3527 -0.6636
0.1885 0.2852 9.9559
Hg Mo Cl
2 2 7
Cartesian
-0.2063 4.6004 4.3144 Hg
4.3129 1.6140 4.3144 Hg
1.4530 2.1988 8.9481 Mo
2.6536 4.0156 -0.3194 Mo
4.5935 3.3558 0.6629 Cl
2.8206 0.6730 7.9659 Cl
-0.4869 2.8586 7.9659 Cl
1.2860 5.5415 0.6629 Cl
0.0000 0.0000 0.0000 Cl
2.4957 3.7766 7.4109 Cl
1.6110 2.4379 1.2178 Cl
```

Calculated values
Energy relative to the elements, uncorrected = -0.585 eV/atom

***

# 14
Density functional theory data (GGA-PBE) for a geometry-optimized NdDyEr4 structure.

```
NdDyEr4
1.0
6.5615 0.0000 0.0000
3.2807 5.6824 0.0000
3.2807 1.8941 5.3574
Dy Nd Er
1 1 4
Cartesian
0.0000 0.0000 0.0000 Dy
3.2807 1.8941 1.3394 Nd
6.5615 3.7883 0.6620 Er
6.5615 1.8869 3.3509 Er
8.2081 4.7389 3.3509 Er
4.9149 4.7389 3.3509 Er
```

Calculated values
Offset from the most stable computed form = 261 meV/atom
Energy relative to the elements = 0.2813 eV/atom

***

# 15
Density functional theory data (GGA-PBE) for a geometry-optimized Ti5Al2Au structure.

```
Ti5Al2Au
1.0
-0.6435 2.0807 3.3855
-3.4710 1.3754 -1.5050
-1.8614 -8.1282 2.2483
Ti Al Au
5 2 1
Cartesian
-2.0572 1.7280 0.9403 Ti
-3.2302 -3.7099 4.0594 Ti
-4.6440 -4.0625 1.6141 Ti
-2.7457 -0.9621 0.0694 Ti
-1.3319 -0.6095 2.5147 Ti
-4.0133 -1.4667 2.5319 Al
-1.9626 -3.2054 1.5969 Al
0.0000 0.0000 0.0000 Au
```

Calculated values
Energy relative to the elements = -0.3165 eV/atom

***

# 16
Density functional theory data (GGA-PBE) for a geometry-optimized Pm6Tl5Ag structure.

```
Pm6Tl5Ag
1.0
-3.7080 4.0065 -0.2288
-0.9396 -1.3007 -7.5495
-7.7937 -3.3985 1.5555
Tl Ag Pm
5 1 6
Cartesian
-8.1299 -0.2381 -2.8925 Tl
-3.7985 0.2348 0.4323 Tl
-0.4698 -0.6504 -3.7748 Tl
-7.7032 0.3732 0.8944 Tl
-4.3113 -0.4546 -3.3304 Tl
0.0000 0.0000 0.0000 Ag
-6.3656 1.2531 -5.3742 Pm
-5.8880 1.9142 -1.5371 Pm
-2.0832 1.6859 -1.9562 Pm
-2.5643 1.0199 -5.8221 Pm
-6.5532 -2.6069 -4.6858 Pm
-6.0756 -1.9458 -0.8487 Pm
```

Calculated values
Offset from the most stable computed form = 0 meV/atom
Energy relative to the elements = -0.3591 eV/atom

***

# 17
Density functional theory data (GGA-PBE) for a geometry-optimized NaAlZn3 structure.

```
NaAlZn3
1.0
-3.1221 -1.3037 1.4818
1.1156 -3.4533 -0.6877
3.3470 -0.2750 6.8103
Na Al Zn
1 1 3
Cartesian
0.1943 -0.0160 0.3954 Na
1.4712 -2.5818 5.4319 Al
2.2510 -0.1850 4.5801 Zn
-0.2326 -0.7610 3.4440 Zn
1.8863 -1.8358 2.3592 Zn
```

Calculated values
Offset from the most stable computed form = 98 meV/atom
Energy relative to the elements = 0.1300 eV/atom

***

# 18
Density functional theory data (GGA-PBE) for a geometry-optimized GdYHo structure.

```
GdYHo
1.0
3.5676 0.0000 0.0000
0.0000 3.5676 0.0000
-1.7838 -1.7838 7.5300
Y Gd Ho
1 1 1
Cartesian
0.0000 0.0000 0.0280 Y
0.0000 0.0000 5.0000 Gd
1.7838 1.7838 2.5020 Ho
```

Calculated values
Offset from the most stable computed form = 0 meV/atom
Energy relative to the elements = 0.0241 eV/atom

***

# 19
Density functional theory data (GGA-PBE) for a geometry-optimized Li4Zn4Cd3 structure.

```
Li4Zn4Cd3
1.0
2.8857 0.0265 0.0396
-0.1066 4.2612 0.6609
-1.7522 -0.2841 15.3076
Li Zn Cd
4 4 3
Cartesian
-0.4786 2.0830 14.2242 Li
1.5057 1.9206 1.7839 Li
0.4977 3.3458 6.3744 Li
0.5294 0.6578 9.6338 Li
0.7565 0.1847 12.5855 Zn
1.9934 1.0496 7.2236 Zn
-0.9663 2.9541 8.7845 Zn
0.2706 3.8189 3.4227 Zn
-0.9180 2.5290 11.5095 Cd
1.9451 1.4746 4.4987 Cd
0.0000 0.0000 0.0000 Cd
```

Calculated values
Energy relative to the elements = -0.1620 eV/atom

***

# 20
Density functional theory data (GGA-PBE) for a geometry-optimized LaZrIn2 structure.

```
LaZrIn2
1.0
-2.6840 -3.7662 -3.1505
-2.5507 -4.9807 0.0196
-5.7619 1.7404 0.9090
In La Zr
2 1 1
Cartesian
-5.3989 -8.5990 -3.0673 In
-5.3340 -3.6513 -1.1746 In
-8.2474 -5.2550 -1.6664 La
-2.7491 -1.7517 -0.5555 Zr
```

Calculated values
Energy relative to the elements = -0.1670 eV/atom

***

# 21
Density functional theory data (GGA-PBE) for a geometry-optimized MgIn3Pd structure.

```
MgIn3Pd
1.0
-0.7320 2.4161 4.5564
-2.3008 -4.2717 1.8955
4.6157 -1.7462 1.6674
Mg Pd In
1 1 3
Cartesian
0.7914 -1.8009 4.0597 Mg
0.0000 0.0000 0.0000 Pd
-1.1504 -2.1359 0.9477 In
2.3078 -0.8731 0.8337 In
-0.3660 1.2080 2.2782 In
```

Calculated values
Offset from the most stable computed form = 264 meV/atom
Energy relative to the elements = -0.0250 eV/atom

***

# 22
Density functional theory data (GGA-PBE) for a geometry-optimized TaRe2Au structure.

```
TaRe2Au
1.0
3.3599 0.0000 0.0000
0.0000 3.3599 0.0000
0.0000 0.0000 5.8397
Au Re Ta
1 2 1
Cartesian
1.6800 1.6800 4.3797 Au
0.0000 0.0000 0.0917 Re
0.0000 0.0000 2.8282 Re
1.6800 1.6800 1.4599 Ta
```

Calculated values
Offset from the most stable computed form = 169 meV/atom
Energy relative to the elements = 0.2383 eV/atom

***

# 23
Density functional theory data (GGA-PBE) for a geometry-optimized Cs3Sn2Cl7 structure.

```
Cs3Sn2Cl7
1.0
-1.9982 1.1214 5.1462
-3.2602 -4.5862 -0.2665
13.1532 -6.0852 3.3499
Cs Sn Cl
3 2 7
Cartesian
6.6920 -4.9711 3.6816 Cs
1.2028 -4.5790 4.5480 Cs
-2.6292 -1.7324 2.4398 Cs
2.1094 -1.5669 1.1605 Sn
5.7855 -7.9831 7.0691 Sn
0.0000 0.0000 0.0000 Cl
7.4563 -5.7203 7.2248 Cl
6.8253 -8.5741 4.5185 Cl
0.4385 -3.8297 1.0048 Cl
1.0695 -0.9759 3.7111 Cl
4.1488 -3.0819 2.2824 Cl
3.7461 -6.4682 5.9472 Cl
```

Calculated values
Offset from the most stable computed form = 0 meV/atom
Energy relative to the elements, uncorrected = -1.538 eV/atom

***

# 24
Density functional theory data (GGA-PBE) for a geometry-optimized Ba2PaTe5 structure.

```
Ba2PaTe5
1.0
-7.7159 -3.3556 0.7230
0.2766 -6.8047 -4.9915
4.9042 2.0436 5.6335
Ba Pa Te
2 1 5
Cartesian
0.5618 -5.2992 -0.4092 Ba
-3.1443 -3.6985 2.2412 Ba
-7.4151 -10.1349 -4.2479 Pa
-0.7184 -1.8754 4.3489 Te
-1.5289 -2.4410 -0.6632 Te
-5.5776 -8.2637 -2.8076 Te
2.8295 -3.4052 1.8075 Te
-3.1150 -6.1546 -0.6386 Te
```

Calculated values
Offset from the most stable computed form = 137 meV/atom
Energy relative to the elements, uncorrected = -1.097 eV/atom